# Cr2PtSe PBE-GGA optimized geometry
# - total energy (eV/atom) = -7.069
# - energy relative to the elements, uncorrected (eV per atom) = 0.124
# - calculated volume (Å³/cell) = 120.78
data_Cr2PtSe
_chemical_formula_sum 'Cr4 Pt2 Se2'
_cell_length_a 5.499
_cell_length_b 7.088
_cell_length_c 3.098
_cell_angle_alpha 90.00
_cell_angle_beta 90.00
_cell_angle_gamma 90.00
_space_group_name_H-M_alt 'C m m m'
_space_group_IT_number 65
_space_group_name_Hall '-C 2 2'
loop_
_atom_site_label
_atom_site_type_symbol
_atom_site_fract_x
_atom_site_fract_y
_atom_site_fract_z
_atom_site_occupancy
Cr1 Cr 0.250 0.250 0.000 1
Pt1 Pt 0.000 0.000 0.500 1
Se1 Se 0.000 0.500 0.500 1



# CrPtSe3 PBE-GGA optimized geometry
# - total energy (eV/atom) = -4.639
# - energy relative to the elements, uncorrected (eV per atom) = 0.584
# - calculated volume (Å³/cell) = 123.74
# - energy above the most stable polymorph in this dataset (meV per atom) = 0
data_CrPtSe3
_chemical_formula_sum 'Cr1 Pt1 Se3'
_cell_length_a 4.983
_cell_length_b 4.983
_cell_length_c 4.983
_cell_angle_alpha 90.00
_cell_angle_beta 90.00
_cell_angle_gamma 90.00
_space_group_name_H-M_alt 'P m -3 m'
_space_group_IT_number 221
_space_group_name_Hall '-P 4 2 3'
loop_
_atom_site_label
_atom_site_type_symbol
_atom_site_fract_x
_atom_site_fract_y
_atom_site_fract_z
_atom_site_occupancy
Cr1 Cr 0.000 0.000 0.000 1
Pt1 Pt 0.500 0.500 0.500 1
Se1 Se 0.000 0.500 0.500 1



# Cr2PtSe PBE-GGA optimized geometry
# - total energy (eV/atom) = -7.036
# - energy relative to the elements, uncorrected (eV per atom) = 0.157
# - calculated volume (Å³/cell) = 186.02
data_Cr2PtSe
_chemical_formula_sum 'Cr6 Pt3 Se3'
_cell_length_a 2.8980
_cell_length_b 2.8980
_cell_length_c 25.5757
_cell_angle_alpha 90.00
_cell_angle_beta 90.00
_cell_angle_gamma 120.00
_space_group_name_H-M_alt 'R 3 m'
_space_group_IT_number 160
_space_group_name_Hall 'R 3 -2"'
loop_
_atom_site_label
_atom_site_type_symbol
_atom_site_fract_x
_atom_site_fract_y
_atom_site_fract_z
_atom_site_occupancy
Cr1 Cr 0.0000 0.0000 0.0000 1
Cr2 Cr 0.0000 0.0000 0.2629 1
Pt1 Pt 0.0000 0.0000 0.7477 1
Se1 Se 0.0000 0.0000 0.5260 1



# Cr2PtSe PBE-GGA optimized geometry
# - total energy (eV/atom) = -6.914
# - energy relative to the elements, uncorrected (eV per atom) = 0.279
# - calculated volume (Å³/cell) = 253.82
data_Cr2PtSe
_chemical_formula_sum 'Cr8 Pt4 Se4'
_cell_length_a 6.332
_cell_length_b 6.332
_cell_length_c 6.332
_cell_angle_alpha 90.00
_cell_angle_beta 90.00
_cell_angle_gamma 90.00
_space_group_name_H-M_alt 'F -4 3 m'
_space_group_IT_number 216
_space_group_name_Hall 'F -4 2 3'
loop_
_atom_site_label
_atom_site_type_symbol
_atom_site_fract_x
_atom_site_fract_y
_atom_site_fract_z
_atom_site_occupancy
Cr1 Cr 0.000 0.000 0.000 1
Cr2 Cr 0.250 0.250 0.250 1
Pt1 Pt 0.000 0.000 0.500 1
Se1 Se 0.250 0.250 0.750 1



# Cr2PtSe PBE-GGA optimized geometry
# - total energy (eV/atom) = -6.937
# - energy relative to the elements, uncorrected (eV per atom) = 0.256
# - calculated volume (Å³/cell) = 264.96
data_Cr2PtSe
_chemical_formula_sum 'Cr8 Pt4 Se4'
_cell_length_a 6.914
_cell_length_b 6.914
_cell_length_c 5.542
_cell_angle_alpha 90.00
_cell_angle_beta 90.00
_cell_angle_gamma 90.00
_space_group_name_H-M_alt 'I -4 2 d'
_space_group_IT_number 122
_space_group_name_Hall 'I -4 2bw'
loop_
_atom_site_label
_atom_site_type_symbol
_atom_site_fract_x
_atom_site_fract_y
_atom_site_fract_z
_atom_site_occupancy
Cr1 Cr 0.234 0.250 0.125 1
Pt1 Pt 0.000 0.000 0.500 1
Se1 Se 0.000 0.000 0.000 1



# Cr2PtSe PBE-GGA optimized geometry
# - total energy (eV/atom) = -7.009
# - energy relative to the elements, uncorrected (eV per atom) = 0.184
# - calculated volume (Å³/cell) = 55.37
data_Cr2PtSe
_chemical_formula_sum 'Cr2 Pt1 Se1'
_cell_length_a 4.414
_cell_length_b 4.414
_cell_length_c 2.842
_cell_angle_alpha 90.00
_cell_angle_beta 90.00
_cell_angle_gamma 90.00
_space_group_name_H-M_alt 'P 4/m m m'
_space_group_IT_number 123
_space_group_name_Hall '-P 4 2'
loop_
_atom_site_label
_atom_site_type_symbol
_atom_site_fract_x
_atom_site_fract_y
_atom_site_fract_z
_atom_site_occupancy
Cr1 Cr 0.000 0.500 0.000 1
Pt1 Pt 0.000 0.000 0.500 1
Se1 Se 0.500 0.500 0.500 1



# Cr2PtSe PBE-GGA optimized geometry
# - total energy (eV/atom) = -6.899
# - energy relative to the elements, uncorrected (eV per atom) = 0.294
# - calculated volume (Å³/cell) = 111.70
data_Cr2PtSe
_chemical_formula_sum 'Cr4 Pt2 Se2'
_cell_length_a 3.095
_cell_length_b 4.361
_cell_length_c 8.276
_cell_angle_alpha 90.00
_cell_angle_beta 90.00
_cell_angle_gamma 90.00
_space_group_name_H-M_alt 'I m m m'
_space_group_IT_number 71
_space_group_name_Hall '-I 2 2'
loop_
_atom_site_label
_atom_site_type_symbol
_atom_site_fract_x
_atom_site_fract_y
_atom_site_fract_z
_atom_site_occupancy
Cr1 Cr 0.000 0.000 0.223 1
Pt1 Pt 0.000 0.500 0.000 1
Se1 Se 0.000 0.500 0.500 1



# Cr2PtSe PBE-GGA optimized geometry
# - total energy (eV/atom) = -7.134
# - energy relative to the elements, uncorrected (eV per atom) = 0.059
# - calculated volume (Å³/cell) = 144.51
data_Cr2PtSe
_chemical_formula_sum 'Cr4 Pt2 Se2'
_cell_length_a 6.376
_cell_length_b 3.684
_cell_length_c 6.512
_cell_angle_alpha 90.00
_cell_angle_beta 109.15
_cell_angle_gamma 90.00
_space_group_name_H-M_alt 'C 1 2/m 1'
_space_group_IT_number 12
loop_
_space_group_symop_operation_xyz
'x,y,z'
'-x,-y,-z'
'-x,y,-z'
'x,-y,z'
'x+1/2,y+1/2,z'
'-x+1/2,-y+1/2,-z'
'-x+1/2,y+1/2,-z'
'x+1/2,-y+1/2,z'
loop_
_atom_site_label
_atom_site_type_symbol
_atom_site_fract_x
_atom_site_fract_y
_atom_site_fract_z
_atom_site_occupancy
Cr1 Cr 0.250 0.000 0.250 1
Pt1 Pt 0.000 0.000 0.500 1
Se1 Se 0.000 0.500 0.000 1